LiPrCr2O8, optimized geometry, DFT PBE with a Hubbard U; E = -83.24 eV per formula unit; symmetry = C2/m, No. 12
1.0
4.3627 -2.8688 0.0000
4.3627 2.8688 0.0000
-0.3041 0.0000 7.1357
Li Pr Cr O
1 1 2 8
direct
0.0000 0.0000 0.0000
0.0000 0.0000 0.5000
0.3606 0.3606 0.2369
0.6394 0.6394 0.7631
0.2266 0.7130 0.2329
0.2367 0.2367 0.0624
0.2706 0.2706 0.4394
0.2870 0.7734 0.7671
0.7130 0.2266 0.2329
0.7294 0.7294 0.5606
0.7633 0.7633 0.9376
0.7734 0.2870 0.7671